(1)
# Er5Mg2Tl5

A geometry-optimized Er5Mg2Tl5 structure (PBE, the Alexandria database).

- calculated formation energy (eV/atom) = -0.172
- space group = C2/m

CIF file:
```
data_Er5Mg2Tl5
_chemical_formula_sum 'Er5 Mg2 Tl5'
_cell_length_a 4.9690
_cell_length_b 6.4350
_cell_length_c 11.9297
_cell_angle_alpha 111.58
_cell_angle_beta 90.00
_cell_angle_gamma 112.71
_space_group_name_H-M_alt 'P 1'
_space_group_IT_number 1
_space_group_name_Hall 'P 1'
loop_
_atom_site_label
_atom_site_type_symbol
_atom_site_fract_x
_atom_site_fract_y
_atom_site_fract_z
Er1 Er 0.5000 0.0000 0.5000
Er2 Er 0.6471 0.2941 0.9915
Er3 Er 0.6418 0.2837 0.2736
Er4 Er 0.3582 0.7163 0.7264
Er5 Er 0.3529 0.7059 0.0085
Mg1 Mg 0.0789 0.1577 0.7639
Mg2 Mg 0.9211 0.8423 0.2361
Tl1 Tl 0.1527 0.3054 0.4589
Tl2 Tl 0.7169 0.4337 0.7691
Tl3 Tl 0.2831 0.5663 0.2309
Tl4 Tl 0.8473 0.6946 0.5411
Tl5 Tl 0.0000 0.0000 0.0000
```

=====

(2)
# Mn2VB4

A geometry-optimized Mn2VB4 structure (PBE, the Alexandria database).

- calculated formation energy (eV/atom) = -0.616
- space group = Immm

CIF file:
```
data_Mn2VB4
_chemical_formula_sum 'Mn2 V1 B4'
_cell_length_a 2.9647
_cell_length_b 3.0203
_cell_length_c 6.7134
_cell_angle_alpha 103.00
_cell_angle_beta 102.76
_cell_angle_gamma 90.00
_space_group_name_H-M_alt 'P 1'
_space_group_IT_number 1
_space_group_name_Hall 'P 1'
loop_
_atom_site_label
_atom_site_type_symbol
_atom_site_fract_x
_atom_site_fract_y
_atom_site_fract_z
B1 B 0.6430 0.6430 0.2861
B2 B 0.3570 0.3570 0.7139
B3 B 0.0683 0.5683 0.1365
B4 B 0.9317 0.4317 0.8635
Mn1 Mn 0.8140 0.8140 0.6280
Mn2 Mn 0.1860 0.1860 0.3720
V1 V 0.5000 0.0000 0.0000
```

=====

(3)
# Th2TcSn

A geometry-optimized Th2TcSn structure (PBE, the Alexandria database).

- calculated formation energy (eV/atom) = -0.323
- space group = P4/mmm
- energy above the most stable polymorph in this dataset (eV/atom) = 0.042

CIF file:
```
data_Th2TcSn
_chemical_formula_sum 'Th2 Tc1 Sn1'
_cell_length_a 3.4736
_cell_length_b 3.4736
_cell_length_c 8.6014
_cell_angle_alpha 90.00
_cell_angle_beta 90.00
_cell_angle_gamma 90.00
_space_group_name_H-M_alt 'P 1'
_space_group_IT_number 1
_space_group_name_Hall 'P 1'
loop_
_atom_site_label
_atom_site_type_symbol
_atom_site_fract_x
_atom_site_fract_y
_atom_site_fract_z
Sn1 Sn 0.5000 0.5000 0.5000
Th1 Th 0.0000 0.0000 0.7914
Th2 Th 0.0000 0.0000 0.2086
Tc1 Tc 0.5000 0.5000 0.0000
```

=====

(4)
# Ba5TaH2N4

A geometry-optimized Ba5TaH2N4 structure (PBE, the Alexandria database).

- total DFT energy (no corrections) (eV/atom) = -5.838
- space group = Amm2

CIF file:
```
data_Ba5TaH2N4
_chemical_formula_sum 'Ba5 Ta1 H2 N4'
_cell_length_a 6.4548
_cell_length_b 6.1772
_cell_length_c 8.0475
_cell_angle_alpha 90.00
_cell_angle_beta 90.00
_cell_angle_gamma 121.50
_space_group_name_H-M_alt 'P 1'
_space_group_IT_number 1
_space_group_name_Hall 'P 1'
loop_
_atom_site_label
_atom_site_type_symbol
_atom_site_fract_x
_atom_site_fract_y
_atom_site_fract_z
Ba1 Ba 0.0787 0.3555 0.2220
Ba2 Ba 0.4313 0.0000 0.5000
Ba3 Ba 0.0787 0.3555 0.7780
Ba4 Ba 0.7232 0.6445 0.7780
Ba5 Ba 0.7232 0.6445 0.2220
Ta1 Ta 0.4126 0.0000 0.0000
H1 H 0.9058 0.5075 0.5000
H2 H 0.3984 0.4925 0.5000
N1 N 0.5937 0.0000 0.1983
N2 N 0.5937 0.0000 0.8017
N3 N 0.3871 0.3077 0.0000
N4 N 0.0794 0.6923 0.0000
```

=====

(5)
# FeCoHRh2

A geometry-optimized FeCoHRh2 structure (PBE, the Alexandria database).

- space group = P4/mmm
- energy above the most stable polymorph in this dataset (eV/atom) = 0.171

CIF file:
```
data_FeCoHRh2
_chemical_formula_sum 'Fe1 Co1 H1 Rh2'
_cell_length_a 3.7795
_cell_length_b 3.7795
_cell_length_c 3.6451
_cell_angle_alpha 90.00
_cell_angle_beta 90.00
_cell_angle_gamma 90.00
_space_group_name_H-M_alt 'P 1'
_space_group_IT_number 1
_space_group_name_Hall 'P 1'
loop_
_atom_site_label
_atom_site_type_symbol
_atom_site_fract_x
_atom_site_fract_y
_atom_site_fract_z
Co1 Co 0.5000 0.5000 0.5000
Rh1 Rh 0.0000 0.5000 0.0000
Rh2 Rh 0.5000 0.0000 0.0000
Fe1 Fe 0.0000 0.0000 0.5000
H1 H 0.0000 0.0000 0.0000
```

=====

(6)
# Pm2Sm7Th2

A geometry-optimized Pm2Sm7Th2 structure (PBE, the Alexandria database).

- calculated formation energy (eV/atom) = 0.179
- space group = C2/m
- energy above the most stable polymorph in this dataset (eV/atom) = 0.000

CIF file:
```
data_Pm2Sm7Th2
_chemical_formula_sum 'Pm2 Sm7 Th2'
_cell_length_a 6.1879
_cell_length_b 8.1022
_cell_length_c 8.1022
_cell_angle_alpha 91.91
_cell_angle_beta 74.42
_cell_angle_gamma 74.42
_space_group_name_H-M_alt 'P 1'
_space_group_IT_number 1
_space_group_name_Hall 'P 1'
loop_
_atom_site_label
_atom_site_type_symbol
_atom_site_fract_x
_atom_site_fract_y
_atom_site_fract_z
Pm1 Pm 0.5000 0.2197 0.7803
Pm2 Pm 0.5000 0.7803 0.2197
Sm1 Sm 0.1663 0.0662 0.5886
Sm2 Sm 0.8337 0.4114 0.9338
Sm3 Sm 0.8337 0.9338 0.4114
Sm4 Sm 0.1663 0.5886 0.0662
Sm5 Sm 0.0000 0.0000 0.0000
Sm6 Sm 0.5833 0.7584 0.7584
Sm7 Sm 0.4167 0.2416 0.2416
Th1 Th 0.8074 0.4160 0.4160
Th2 Th 0.1926 0.5840 0.5840
```